Entry 1:
VASP calculation (GGA-PBE) on TiCrCo2 after structural relaxation.

a b c (Å): 4.1339 4.1339 4.1339
angles (deg): 60.00 60.00 60.00
Closest atoms and distances in Å follow each position.
Positions (direct):
Cr (0.5000, 0.5000, 0.5000)  8 Co 2.53
Co (0.2500, 0.2500, 0.2500)  4 Cr 2.53, 4 Ti 2.53
Co (0.7500, 0.7500, 0.7500)  4 Ti 2.53, 4 Cr 2.53
Ti (0.0000, 0.0000, 0.0000)  8 Co 2.53

DOS(E_F) = 0.52 states/eV per atom
magnetic moment = 4.1 μB/cell
offset from the most stable computed form = 22 meV/atom

***

Entry 2:
VASP calculation (GGA-PBE) on Ti4CrCo3 after structural relaxation.

a b c (Å): 3.0047 3.0047 11.7567
angles (deg): 90.00 90.00 90.00
Closest atoms and distances in Å follow each position.
Positions (direct):
Cr (0.5000, 0.5000, 0.0000)  8 Ti 2.58
Co (0.5000, 0.5000, 0.2588)  8 Ti 2.53-2.65
Co (0.5000, 0.5000, 0.5000)  8 Ti 2.58, 2 Co 2.84
Co (0.5000, 0.5000, 0.7412)  8 Ti 2.53-2.65
Ti (0.0000, 0.0000, 0.8757)  4 Cr 2.58, 4 Co 2.65
Ti (0.0000, 0.0000, 0.1243)  4 Cr 2.58, 4 Co 2.65
Ti (0.0000, 0.0000, 0.3754)  8 Co 2.53-2.58
Ti (0.0000, 0.0000, 0.6246)  8 Co 2.53-2.58

DOS(E_F) = 0.84 states/eV per atom
magnetic moment = 0.0 μB/cell
final energy = -0.2987 Ha/atom

***

Entry 3:
VASP calculation (GGA-PBE) on TiCrCo2 after structural relaxation.

a b c (Å): 2.9878 4.0836 4.0836
angles (deg): 90.00 90.00 90.00
Closest atoms and distances in Å follow each position.
Positions (direct):
Cr (0.5000, 0.0000, 0.0000)  8 Co 2.53
Co (0.0000, 0.0000, 0.5000)  4 Ti 2.53, 4 Cr 2.53
Co (0.0000, 0.5000, 0.0000)  4 Cr 2.53, 4 Ti 2.53
Ti (0.5000, 0.5000, 0.5000)  8 Co 2.53

DOS(E_F) = 0.46 states/eV per atom
magnetic moment = 4.0 μB/cell
offset from the most stable computed form = 0 meV/atom

***

Entry 4:
VASP calculation (GGA-PBE) on Ti4CrCo2 after structural relaxation.

a b c (Å): 5.1110 5.1110 5.1110
angles (deg): 110.21 109.10 109.10
Closest atoms and distances in Å follow each position.
Positions (direct):
Ti (0.5000, 0.0000, 0.0000)  4 Co 2.56, 2 Cr 2.56
Ti (0.5000, 0.5000, 0.5000)  2 Cr 2.56, 4 Co 2.56
Ti (0.0000, 0.0000, 0.5000)  4 Co 2.56, 2 Cr 2.56
Ti (0.0000, 0.5000, 0.0000)  4 Co 2.56, 2 Cr 2.56
Cr (0.0000, 0.0000, 0.0000)  8 Ti 2.56
Co (0.5000, 0.5000, 0.0000)  8 Ti 2.56
Co (0.5000, 0.0000, 0.5000)  8 Ti 2.56

DOS(E_F) = 1.11 states/eV per atom
magnetic moment = 0.0 μB/cell
final energy = -0.2942 Ha/atom

***

Entry 5:
VASP calculation (GGA-PBE) on TiCrCo4 after structural relaxation.

a b c (Å): 4.3452 4.1467 8.3650
angles (deg): 104.31 105.06 90.12
Closest atoms and distances in Å follow each position.
Positions (direct):
Ti (0.7759, 0.7500, 0.0001)  10 Co 2.46-2.72
Ti (0.2241, 0.2500, 0.9999)  10 Co 2.46-2.72
Cr (0.5000, 0.0000, 0.5000)  8 Co 2.30-2.51
Cr (0.0000, 0.5000, 0.5000)  8 Co 2.30-2.51
Co (0.5984, 0.1598, 0.8195)  4 Ti 2.46-2.72, 6 Co 2.47-2.64, 1 Cr 2.51
Co (0.7786, 0.3403, 0.1806)  4 Ti 2.46-2.72, 6 Co 2.47-2.64, 1 Cr 2.51
Co (0.4016, 0.8402, 0.1805)  4 Ti 2.46-2.72, 6 Co 2.47-2.64, 1 Cr 2.51
Co (0.2214, 0.6597, 0.8194)  4 Ti 2.46-2.72, 6 Co 2.47-2.64, 1 Cr 2.51
Co (0.0234, 0.0802, 0.6610)  3 Cr 2.30-2.44, 5 Co 2.47-2.56
Co (0.3623, 0.4191, 0.3389)  3 Cr 2.30-2.44, 5 Co 2.47-2.56
Co (0.9766, 0.9198, 0.3390)  3 Cr 2.30-2.44, 5 Co 2.47-2.56
Co (0.6377, 0.5809, 0.6611)  3 Cr 2.30-2.44, 5 Co 2.47-2.56

DOS(E_F) = 1.31 states/eV per atom
magnetic moment = 4.9 μB/cell
offset from the most stable computed form = 60 meV/atom

***

Entry 6:
VASP calculation (GGA-PBE) on TiCrCo5 after structural relaxation.

a b c (Å): 3.9751 3.9751 5.3981
angles (deg): 90.00 90.00 90.00
Closest atoms and distances in Å follow each position.
Positions (direct):
Ti (0.0000, 0.0000, 0.5000)  8 Co 2.47
Cr (0.5000, 0.5000, 0.0000)  8 Co 2.33
Co (0.0000, 0.5000, 0.7731)  2 Cr 2.33, 3 Co 2.45-2.47, 2 Ti 2.47
Co (0.0000, 0.5000, 0.2269)  2 Cr 2.33, 3 Co 2.45-2.47, 2 Ti 2.47
Co (0.5000, 0.0000, 0.7731)  2 Cr 2.33, 3 Co 2.45-2.47, 2 Ti 2.47
Co (0.5000, 0.0000, 0.2269)  2 Cr 2.33, 3 Co 2.45-2.47, 2 Ti 2.47
Co (0.5000, 0.5000, 0.5000)  8 Co 2.47, 2 Cr 2.70

DOS(E_F) = 1.49 states/eV per atom
magnetic moment = 3.1 μB/cell
final energy = -0.2726 Ha/atom

***

Entry 7:
VASP calculation (GGA-PBE) on TiCrCo4 after structural relaxation.

a b c (Å): 4.6982 4.6982 4.6982
angles (deg): 60.00 60.00 60.00
Closest atoms and distances in Å follow each position.
Positions (direct):
Cr (0.0000, 0.0000, 0.0000)  12 Co 2.75, 4 Ti 2.88
Co (0.6253, 0.6253, 0.1241)  6 Co 2.34-2.35
Co (0.6253, 0.1241, 0.6253)  6 Co 2.34-2.35
Co (0.6253, 0.6253, 0.6253)  6 Co 2.34-2.35
Co (0.1241, 0.6253, 0.6253)  6 Co 2.34-2.35
Ti (0.2500, 0.2500, 0.2500)  12 Co 2.76, 4 Cr 2.88

DOS(E_F) = 1.47 states/eV per atom
magnetic moment = 7.7 μB/cell
offset from the most stable computed form = 0 meV/atom

***

Entry 8:
VASP calculation (GGA-PBE) on TiCrCo2 after structural relaxation.

a b c (Å): 3.6263 3.6263 8.3878
angles (deg): 77.52 77.52 90.00
Closest atoms and distances in Å follow each position.
Positions (direct):
Cr (0.0000, 0.0000, 0.0000)  4 Co 2.35, 4 Ti 2.56
Cr (0.7500, 0.2500, 0.5000)  4 Co 2.35, 4 Ti 2.56
Co (0.6426, 0.1250, 0.2500)  2 Cr 2.35, 2 Ti 2.40, 2 Co 2.48
Co (0.1074, 0.6250, 0.2500)  2 Cr 2.35, 2 Ti 2.40, 2 Co 2.48
Co (0.3750, 0.3574, 0.7500)  2 Cr 2.35, 2 Ti 2.40, 2 Co 2.48
Co (0.8750, 0.8926, 0.7500)  2 Cr 2.35, 2 Ti 2.40, 2 Co 2.48
Ti (0.5000, 0.5000, 0.0000)  4 Co 2.40, 4 Cr 2.56
Ti (0.2500, 0.7500, 0.5000)  4 Co 2.40, 4 Cr 2.56

DOS(E_F) = 1.30 states/eV per atom
magnetic moment = 0.6 μB/cell
offset from the most stable computed form = 633 meV/atom

***

Entry 9:
VASP calculation (GGA-PBE) on TiCrCo2 after structural relaxation.

a b c (Å): 2.6269 2.6269 6.9192
angles (deg): 90.00 90.00 90.00
Closest atoms and distances in Å follow each position.
Positions (direct):
Cr (0.5000, 0.5000, 0.5000)  8 Co 2.45, 4 Cr 2.63
Co (0.0000, 0.0000, 0.7298)  4 Cr 2.45, 4 Co 2.63, 4 Ti 2.64
Co (0.0000, 0.0000, 0.2702)  4 Cr 2.45, 4 Co 2.63, 4 Ti 2.64
Ti (0.5000, 0.5000, 0.0000)  4 Ti 2.63, 8 Co 2.64

DOS(E_F) = 0.84 states/eV per atom
magnetic moment = 0.0 μB/cell
offset from the most stable computed form = 76 meV/atom

***

Entry 10:
VASP calculation (GGA-PBE) on Ti3CrCo2 after structural relaxation.

a b c (Å): 3.0186 4.1926 12.5726
angles (deg): 90.00 90.00 90.00
Closest atoms and distances in Å follow each position.
Positions (direct):
Ti (0.5001, 0.5000, 0.6651)  2 Cr 2.57, 6 Co 2.57-2.58
Ti (0.5000, 0.0000, 0.5000)  4 Cr 2.58, 4 Co 2.61
Ti (0.5001, 0.5000, 0.3349)  2 Cr 2.57, 6 Co 2.57-2.58
Ti (0.4999, 0.0000, 0.1651)  2 Cr 2.57, 6 Co 2.57-2.58
Ti (0.5000, 0.5000, 0.0000)  4 Cr 2.58, 4 Co 2.61
Ti (0.4999, 0.0000, 0.8349)  2 Cr 2.57, 6 Co 2.57-2.58
Cr (0.0000, 0.5000, 0.5000)  8 Ti 2.57-2.58
Cr (0.0000, 0.0000, 0.0000)  8 Ti 2.57-2.58
Co (0.0000, 0.0000, 0.6694)  8 Ti 2.57-2.61
Co (0.0000, 0.0000, 0.3306)  8 Ti 2.57-2.61
Co (0.0000, 0.5000, 0.1694)  8 Ti 2.57-2.61
Co (0.0000, 0.5000, 0.8306)  8 Ti 2.57-2.61

DOS(E_F) = 0.73 states/eV per atom
magnetic moment = 0.0 μB/cell
offset from the most stable computed form = 0 meV/atom

***

Entry 11:
VASP calculation (GGA-PBE) on Ti6CrCo after structural relaxation.

a b c (Å): 5.4161 5.4161 5.6055
angles (deg): 103.09 103.09 118.21
Closest atoms and distances in Å follow each position.
Positions (direct):
Ti (0.2545, 0.2545, 0.7447)  1 Co 2.32, 1 Cr 2.42
Ti (0.4610, 0.0547, 0.2461)  1 Co 2.39, 1 Cr 2.40
Ti (0.7455, 0.7455, 0.2553)  1 Co 2.32, 1 Cr 2.42
Ti (0.9453, 0.5390, 0.7539)  1 Co 2.39, 1 Cr 2.40
Ti (0.5390, 0.9453, 0.7539)  1 Co 2.39, 1 Cr 2.40
Ti (0.0547, 0.4610, 0.2461)  1 Co 2.39, 1 Cr 2.40
Cr (0.0000, 0.0000, 0.0000)  6 Ti 2.40-2.42
Co (0.5000, 0.5000, 0.5000)  6 Ti 2.32-2.39

DOS(E_F) = 1.20 states/eV per atom
magnetic moment = 1.2 μB/cell
final energy = -0.2872 Ha/atom

***

Entry 12:
VASP calculation (GGA-PBE) on Ti3CrCo2 after structural relaxation.

a b c (Å): 2.9960 2.9960 8.9086
angles (deg): 90.00 90.00 90.00
Closest atoms and distances in Å follow each position.
Positions (direct):
Ti (0.0000, 0.0000, 0.0000)  8 Co 2.54
Ti (0.0000, 0.0000, 0.6655)  4 Cr 2.58, 4 Co 2.64
Ti (0.0000, 0.0000, 0.3345)  4 Cr 2.58, 4 Co 2.64
Cr (0.5000, 0.5000, 0.5000)  8 Ti 2.58
Co (0.5000, 0.5000, 0.8418)  8 Ti 2.54-2.64, 1 Co 2.82
Co (0.5000, 0.5000, 0.1582)  8 Ti 2.54-2.64, 1 Co 2.82

DOS(E_F) = 0.84 states/eV per atom
magnetic moment = 0.0 μB/cell
offset from the most stable computed form = 3 meV/atom